[1]
# Rb2HfW, optimized geometry, DFT GGA-PBE
data_Rb2HfW
_space_group_name_H-M_alt 'F m -3 m'
_space_group_IT_number 225
_space_group_name_Hall '-F 4 2 3'
_cell_length_a 8.220
_cell_length_b 8.220
_cell_length_c 8.220
_cell_angle_alpha 90.00
_cell_angle_beta 90.00
_cell_angle_gamma 90.00
loop_
_atom_site_label
_atom_site_type_symbol
_atom_site_fract_x
_atom_site_fract_y
_atom_site_fract_z
Rb1 Rb 0.250 0.250 0.250
Hf1 Hf 0.000 0.000 0.000
W1 W 0.000 0.000 0.500
# Electronic total energy: -59.8 eV for the cell shown
# Excess energy over the best structure of this formula in the dataset: 0.675 eV per atom
# Energy relative to the elements: 2476 meV per atom

=====

[2]
# Ta4GeB, optimized geometry, DFT GGA-PBE
data_Ta4GeB
_space_group_name_H-M_alt 'P 4/m c c'
_space_group_IT_number 124
_space_group_name_Hall '-P 4 2c'
_cell_length_a 6.034
_cell_length_b 6.034
_cell_length_c 5.072
_cell_angle_alpha 90.00
_cell_angle_beta 90.00
_cell_angle_gamma 90.00
loop_
_atom_site_label
_atom_site_type_symbol
_atom_site_fract_x
_atom_site_fract_y
_atom_site_fract_z
Ta1 Ta 0.143 0.316 0.000
Ge1 Ge 0.500 0.500 0.250
B1 B 0.000 0.000 0.250
# Electronic total energy: -123.0 eV for the cell shown
# Energy relative to the elements: -467 meV per atom

=====

[3]
# NaGa2Ag3, optimized geometry, DFT GGA-PBE
data_NaGa2Ag3
_space_group_name_H-M_alt 'C m c m'
_space_group_IT_number 63
_space_group_name_Hall '-C 2c 2'
_cell_length_a 10.325
_cell_length_b 9.143
_cell_length_c 5.391
_cell_angle_alpha 90.00
_cell_angle_beta 90.00
_cell_angle_gamma 90.00
loop_
_atom_site_label
_atom_site_type_symbol
_atom_site_fract_x
_atom_site_fract_y
_atom_site_fract_z
Na1 Na 0.000 0.179 0.250
Ga1 Ga 0.233 0.500 0.000
Ag1 Ag 0.000 0.454 0.750
Ag2 Ag 0.197 0.236 0.750
# Electronic total energy: -64.9 eV for the cell shown
# Excess energy over the best structure of this formula in the dataset: 0.000 eV per atom
# Energy relative to the elements: -49 meV per atom